Li2Mn2FeO6 | PBE+U | relaxed Values from VASP.

**Calculated volume**: 341.74 Å³ per cell
**SG**: P-1, No. 2
**Relative energy among the computed polymorphs**: 0.000 eV/f.u.
**Total magnetization**: 12.0 μB per formula unit
**Crystal system**: triclinic

The structure in Quantum ESPRESSO input format:
```
&SYSTEM
  ibrav = 0, nat = 33, ntyp = 4
/
ATOMIC_SPECIES
Li 6.94 Li.upf
Mn 54.94 Mn.upf
Fe 55.84 Fe.upf
O 16.00 O.upf
CELL_PARAMETERS angstrom
6.621 -0.006 0.009
0.860 6.608 0.013
2.841 2.499 7.818
ATOMIC_POSITIONS crystal
Li 0.837 0.495 0.678
Li 0.163 0.505 0.322
Li 0.504 0.158 0.328
Li 0.496 0.842 0.672
Li 0.831 0.162 0.003
Li 0.169 0.838 0.997
Mn 0.504 0.172 0.831
Mn 0.837 0.164 0.497
Mn 0.164 0.162 0.161
Mn 0.163 0.836 0.503
Mn 0.496 0.828 0.169
Mn 0.836 0.838 0.839
Fe 0.500 0.500 0.500
Fe 0.828 0.495 0.166
Fe 0.172 0.505 0.834
O 0.146 0.820 0.772
O 0.472 0.827 0.415
O 0.812 0.822 0.071
O 0.497 0.486 0.737
O 0.828 0.471 0.411
O 0.810 0.150 0.771
O 0.172 0.529 0.589
O 0.503 0.514 0.263
O 0.528 0.173 0.585
O 0.152 0.472 0.087
O 0.152 0.148 0.392
O 0.479 0.138 0.090
O 0.848 0.528 0.913
O 0.854 0.180 0.228
O 0.188 0.178 0.929
O 0.848 0.852 0.608
O 0.190 0.850 0.229
O 0.521 0.862 0.910
```